[1]
Pm2AgBr2 | PBE-GGA | relaxed

Cell lengths 4.1300, 4.1300, 11.5961 Å; angles 79.74, 79.74, 60.00 degrees
Fractional coordinates of all 5 atoms:
Pm: 0.6109 0.6109 0.1674
Pm: 0.3891 0.3891 0.8326
Ag: 0.0000 0.0000 0.0000
Br: 0.2225 0.2225 0.3325
Br: 0.7775 0.7775 0.6675

## Properties
- DOS(E_F): 3.89 states/eV/f.u.
- Total moment: 0.1169 μB/atom
- Raw formation energy: -1.039 eV per atom
- Total DFT energy (no corrections): -4.18 eV per atom
- Crystal system: trigonal



[2]
Ho3Hg2Pd | PBE-GGA | relaxed

Cell lengths 3.6313, 3.6313, 10.9125 Å; angles 90.00, 90.00, 90.00 degrees
Fractional coordinates of all 6 atoms:
Ho: 0.0000 0.0000 0.0000
Ho: 0.0000 0.0000 0.6524
Ho: 0.0000 0.0000 0.3476
Hg: 0.5000 0.5000 0.8296
Hg: 0.5000 0.5000 0.1704
Pd: 0.5000 0.5000 0.5000

## Properties
- DFT formation energy: -0.62 eV/atom
- DOS(E_F): 3.94 states/eV/f.u.
- Total moment: 0.0000 μB/atom
- Total DFT energy (no corrections): -3.88 eV per atom
- Crystal system: tetragonal



[3]
BaNdCu2O4 | PBE-GGA | relaxed

Cell lengths 4.0420, 4.0420, 7.0595 Å; angles 90.00, 90.00, 90.00 degrees
Fractional coordinates of all 8 atoms:
Ba: 0.0000 0.0000 0.5000
Nd: 0.0000 0.0000 0.0000
Cu: 0.5000 0.5000 0.2134
Cu: 0.5000 0.5000 0.7866
O: 0.0000 0.5000 0.2174
O: 0.5000 0.0000 0.7826
O: 0.5000 0.0000 0.2174
O: 0.0000 0.5000 0.7826

## Properties
- DOS(E_F): 1.67 states/eV/f.u.
- Total moment: 0.0000 μB/atom
- Raw formation energy: -1.902 eV per atom
- Total DFT energy (no corrections): -6.24 eV per atom
- Crystal system: tetragonal



[4]
PuTiRh | PBE-GGA | relaxed

Cell lengths 3.1075, 3.1075, 6.2356 Å; angles 104.43, 104.43, 90.00 degrees
Fractional coordinates of all 3 atoms:
Ti: 0.6400 0.6400 0.2799
Rh: 0.0244 0.0244 0.0488
Pu: 0.3356 0.3356 0.6713

## Properties
- DFT formation energy: -0.28 eV/atom
- DOS(E_F): 9.28 states/eV/f.u.
- Total moment: 1.6754 μB/atom
- Total DFT energy (no corrections): -10.14 eV per atom
- Crystal system: tetragonal



[5]
TlCd4Hg15 | PBE-GGA | relaxed

Cell lengths 5.0155, 5.0155, 21.2400 Å; angles 90.00, 90.00, 90.00 degrees
Fractional coordinates of all 20 atoms:
Tl: 0.0000 0.0000 0.0000
Cd: 0.0000 0.0000 0.2079
Cd: 0.0000 0.0000 0.4024
Cd: 0.0000 0.0000 0.5976
Cd: 0.0000 0.0000 0.7921
Hg: 0.5000 0.5000 0.0000
Hg: 0.5000 0.5000 0.2051
Hg: 0.5000 0.5000 0.4018
Hg: 0.5000 0.5000 0.5982
Hg: 0.5000 0.5000 0.7949
Hg: 0.5000 0.0000 0.1083
Hg: 0.5000 0.0000 0.3051
Hg: 0.5000 0.0000 0.5000
Hg: 0.5000 0.0000 0.6949
Hg: 0.5000 0.0000 0.8917
Hg: 0.0000 0.5000 0.1083
Hg: 0.0000 0.5000 0.3051
Hg: 0.0000 0.5000 0.5000
Hg: 0.0000 0.5000 0.6949
Hg: 0.0000 0.5000 0.8917

## Properties
- DFT formation energy: 0.02 eV/atom
- DOS(E_F): 6.65 states/eV/f.u.
- Total moment: 0.0000 μB/atom
- Total DFT energy (no corrections): -0.51 eV per atom
- Crystal system: tetragonal



[6]
Sr2DyAuO5 | PBE-GGA | relaxed

Cell lengths 3.5234, 7.0672, 11.5653 Å; angles 90.00, 90.00, 104.43 degrees
Fractional coordinates of all 18 atoms:
Sr: 0.8547 0.7093 0.7928
Sr: 0.0904 0.1809 0.6812
Sr: 0.1453 0.2907 0.2928
Sr: 0.9096 0.8191 0.1812
Dy: 0.7863 0.5726 0.5228
Dy: 0.2137 0.4274 0.0228
Au: 0.5260 0.0520 0.9445
Au: 0.4740 0.9480 0.4445
O: 0.3785 0.7570 0.9842
O: 0.6741 0.3481 0.8942
O: 0.4860 0.9719 0.7735
O: 0.2660 0.5321 0.6496
O: 0.9364 0.8729 0.5812
O: 0.6215 0.2430 0.4842
O: 0.3259 0.6519 0.3942
O: 0.5140 0.0281 0.2735
O: 0.7340 0.4679 0.1496
O: 0.0636 0.1271 0.0812

## Properties
- Total moment: 0.0000 μB/atom
- Raw formation energy: -2.166 eV per atom
- Total DFT energy (no corrections): -6.17 eV per atom
- Crystal system: orthorhombic



[7]
Li3AcAg3 | PBE-GGA | relaxed

Cell lengths 6.9078, 6.9078, 6.9078 Å; angles 90.00, 90.00, 90.00 degrees
Fractional coordinates of all 14 atoms:
Ac: 0.5000 0.5000 0.5000
Ac: 0.0000 0.0000 0.0000
Ag: 0.2500 0.0000 0.5000
Ag: 0.0000 0.5000 0.2500
Ag: 0.5000 0.7500 0.0000
Ag: 0.7500 0.0000 0.5000
Ag: 0.0000 0.5000 0.7500
Ag: 0.5000 0.2500 0.0000
Li: 0.0000 0.2500 0.5000
Li: 0.0000 0.7500 0.5000
Li: 0.5000 0.0000 0.7500
Li: 0.7500 0.5000 0.0000
Li: 0.5000 0.0000 0.2500
Li: 0.2500 0.5000 0.0000

## Properties
- DFT formation energy: 0.06 eV/atom
- DOS(E_F): 3.24 states/eV/f.u.
- Total moment: 0.0000 μB/atom
- Total DFT energy (no corrections): -2.57 eV per atom
- Crystal system: cubic



[8]
Hg4SbHO6 | PBE-GGA | relaxed

Cell lengths 4.9766, 4.9985, 8.6802 Å; angles 104.60, 105.82, 93.01 degrees
Fractional coordinates of all 12 atoms:
Hg: 0.9530 0.9155 0.9888
Hg: 0.1848 0.0992 0.3405
Hg: 0.3268 0.3071 0.7438
Hg: 0.7023 0.4742 0.1457
Sb: 0.7535 0.7056 0.5580
H: 0.5694 0.2476 0.9561
O: 0.6588 0.6072 0.7557
O: 0.0287 0.4415 0.5428
O: 0.4670 0.4311 0.3436
O: 0.0448 0.9904 0.7600
O: 0.8505 0.8260 0.3547
O: 0.4921 0.9832 0.5515

## Properties
- DOS(E_F): 4.74 states/eV/f.u.
- Total moment: 0.0000 μB/atom
- Total DFT energy (no corrections): -3.51 eV per atom
- Crystal system: triclinic



[9]
AcMgZnNi | PBE-GGA | relaxed

Cell lengths 4.5624, 4.5451, 5.7812 Å; angles 113.05, 90.00, 120.13 degrees
Fractional coordinates of all 4 atoms:
Ac: 0.6146 0.2293 0.4878
Mg: 0.1059 0.2117 0.9593
Zn: 0.8174 0.6349 0.0957
Ni: 0.4284 0.8567 0.9246

## Properties
- DFT formation energy: -0.23 eV/atom
- DOS(E_F): 2.84 states/eV/f.u.
- Total moment: 0.0000 μB/atom
- Total DFT energy (no corrections): -3.42 eV per atom
- Crystal system: monoclinic



[10]
CoSbHI2 | PBE-GGA | relaxed

Cell lengths 5.4948, 5.4948, 3.8540 Å; angles 90.00, 90.00, 90.00 degrees
Fractional coordinates of all 5 atoms:
I: 0.0000 0.5000 0.0000
I: 0.5000 0.0000 0.0000
Sb: 0.0000 0.0000 0.5000
Co: 0.5000 0.5000 0.5000
H: 0.0000 0.0000 0.0000

## Properties
- DOS(E_F): 7.33 states/eV/f.u.
- Total moment: 0.4234 μB/atom
- Total DFT energy (no corrections): -2.70 eV per atom
- Crystal system: tetragonal



[11]
MnCrSb2 | PBE-GGA | relaxed

Cell lengths 5.5194, 5.5194, 4.0456 Å; angles 89.98, 89.98, 38.82 degrees
Fractional coordinates of all 4 atoms:
Cr: 0.5370 0.5370 0.3752
Mn: 0.7137 0.7137 0.8748
Sb: 0.9860 0.9860 0.8751
Sb: 0.2633 0.2633 0.3749

## Properties
- DOS(E_F): 3.72 states/eV/f.u.
- Total moment: 1.4681 μB/atom
- Raw formation energy: 0.212 eV per atom
- Total DFT energy (no corrections): -6.55 eV per atom
- Crystal system: orthorhombic



[12]
GaHRh3 | PBE-GGA | relaxed

Cell lengths 5.0073, 5.0073, 5.4998 Å; angles 90.00, 90.00, 112.67 degrees
Fractional coordinates of all 10 atoms:
H: 0.1432 0.8568 0.2500
H: 0.8568 0.1432 0.7500
Rh: 0.5235 0.9851 0.2500
Rh: 0.0149 0.4765 0.2500
Rh: 0.9851 0.5235 0.7500
Rh: 0.4765 0.0149 0.7500
Rh: 0.0000 0.0000 0.0000
Rh: 0.0000 0.0000 0.5000
Ga: 0.5195 0.4805 0.2500
Ga: 0.4805 0.5195 0.7500

## Properties
- DOS(E_F): 4.37 states/eV/f.u.
- Total moment: 0.0000 μB/atom
- Total DFT energy (no corrections): -5.73 eV per atom
- Crystal system: orthorhombic